A:
Below is a geometry-optimized AcInPdAu structure, with properties calculated at the GGA-PBE level.

The calculated density comes out at 10.67 g cm⁻³. The symmetry is No. 8.

Unit cell a=4.794 b=4.794 c=5.759 alpha=114.63 beta=114.63 gamma=59.89
Fractional coordinates of all 4 atoms:
Ac1 0.000 0.000 0.000
In1 0.514 0.514 0.543
Pd1 0.210 0.210 0.628
Au1 0.785 0.785 0.354

B:
Below is a geometry-optimized AcInPdAu structure, with properties calculated at the GGA-PBE level.

The calculated density comes out at 10.99 g cm⁻³. The symmetry is No. 216.

Unit cell a=5.165 b=5.165 c=5.165 alpha=60.00 beta=60.00 gamma=60.00
Fractional coordinates of all 4 atoms:
Ac1 0.000 0.000 0.000
In1 0.500 0.500 0.500
Pd1 0.250 0.250 0.250
Au1 0.750 0.750 0.750

Which of them is least stable? Easy: B.

A:
Below is a geometry-optimized AcInPtAu structure, with properties calculated at the GGA-PBE level.

The calculated density comes out at 12.49 g cm⁻³. The symmetry is No. 216.

Unit cell a=5.167 b=5.167 c=5.167 alpha=60.00 beta=60.00 gamma=60.00
Fractional coordinates of all 4 atoms:
Ac1 0.000 0.000 0.000
In1 0.500 0.500 0.500
Pt1 0.250 0.250 0.250
Au1 0.750 0.750 0.750

B:
Below is a geometry-optimized AcInPtAu structure, with properties calculated at the GGA-PBE level.

The calculated density comes out at 12.17 g cm⁻³. The symmetry is No. 8.

Unit cell a=4.776 b=4.776 c=5.775 alpha=114.44 beta=114.44 gamma=59.92
Fractional coordinates of all 4 atoms:
Ac1 0.000 0.000 0.000
In1 0.515 0.515 0.546
Pt1 0.212 0.212 0.635
Au1 0.784 0.784 0.351

Which of them is least stable? Easy: A.

A:
Below is a geometry-optimized Ac2IrAu structure, with properties calculated at the GGA-PBE level.

The calculated density comes out at 12.69 g cm⁻³. The symmetry is No. 225.

Unit cell a=5.383 b=5.383 c=5.383 alpha=60.00 beta=60.00 gamma=60.00
Fractional coordinates of all 4 atoms:
Ac1 0.250 0.250 0.250
Ac2 0.750 0.750 0.750
Ir1 0.000 0.000 0.000
Au1 0.500 0.500 0.500

B:
Below is a geometry-optimized Ac2IrAu structure, with properties calculated at the GGA-PBE level.

The calculated density comes out at 11.13 g cm⁻³. The symmetry is No. 160.

Unit cell a=8.045 b=8.045 c=8.045 alpha=31.44 beta=31.44 gamma=31.44
Fractional coordinates of all 4 atoms:
Ac1 0.000 0.000 0.000
Ac2 0.190 0.190 0.190
Ir1 0.595 0.595 0.595
Au1 0.429 0.429 0.429

Which of them is least stable? Easy: A.

A:
Below is a geometry-optimized AcIrAu structure, with properties calculated at the GGA-PBE level.

The calculated density comes out at 12.41 g cm⁻³. The symmetry is No. 69.

Unit cell a=9.085 b=8.394 c=4.879 alpha=81.77 beta=66.13 gamma=32.11
Fractional coordinates of all 6 atoms:
Ac1 0.130 0.130 0.870
Ac2 0.870 0.870 0.130
Ir1 0.250 0.250 0.250
Ir2 0.750 0.750 0.750
Au1 0.335 0.665 0.335
Au2 0.665 0.335 0.665

B:
Below is a geometry-optimized AcIrAu structure, with properties calculated at the GGA-PBE level.

The calculated density comes out at 13.44 g cm⁻³. The symmetry is No. 187.

Unit cell a=4.596 b=4.596 c=4.164 alpha=90.00 beta=90.00 gamma=120.00
Fractional coordinates of all 3 atoms:
Ac1 0.000 0.000 0.000
Ir1 0.333 0.667 0.500
Au1 0.667 0.333 0.500

Which of them is least stable? Easy: A.

A:
Below is a geometry-optimized Ac4Ir2Au structure, with properties calculated at the GGA-PBE level.

The calculated density comes out at 10.74 g cm⁻³. The symmetry is No. 63.

Unit cell a=7.493 b=7.493 c=14.738 alpha=90.00 beta=90.00 gamma=146.17
Fractional coordinates of all 14 atoms:
Ac1 0.000 0.000 0.000
Ac2 0.000 0.000 0.500
Ac3 0.269 0.731 0.612
Ac4 0.269 0.731 0.888
Ac5 0.451 0.549 0.250
Ac6 0.549 0.451 0.750
Ac7 0.731 0.269 0.112
Ac8 0.731 0.269 0.388
Ir1 0.368 0.632 0.066
Ir2 0.368 0.632 0.434
Ir3 0.632 0.368 0.566
Ir4 0.632 0.368 0.934
Au1 0.116 0.884 0.250
Au2 0.884 0.116 0.750

B:
Below is a geometry-optimized Ac4Ir2Au structure, with properties calculated at the GGA-PBE level.

The calculated density comes out at 10.27 g cm⁻³. The symmetry is No. 166.

Unit cell a=14.549 b=14.549 c=14.549 alpha=17.41 beta=17.41 gamma=17.41
Fractional coordinates of all 7 atoms:
Ac1 0.123 0.123 0.123
Ac2 0.285 0.285 0.285
Ac3 0.715 0.715 0.715
Ac4 0.877 0.877 0.877
Ir1 0.420 0.420 0.420
Ir2 0.580 0.580 0.580
Au1 0.000 0.000 0.000

Which of them is least stable? Easy: B.

A:
Below is a geometry-optimized Ac3IrAu2 structure, with properties calculated at the GGA-PBE level.

The calculated density comes out at 11.01 g cm⁻³. The symmetry is No. 12.

Unit cell a=7.715 b=7.715 c=7.822 alpha=99.41 beta=99.41 gamma=119.78
Fractional coordinates of all 12 atoms:
Ac1 0.070 0.422 0.768
Ac2 0.222 0.222 0.224
Ac3 0.422 0.070 0.768
Ac4 0.578 0.930 0.232
Ac5 0.778 0.778 0.776
Ac6 0.930 0.578 0.232
Ir1 0.168 0.832 0.000
Ir2 0.832 0.168 0.000
Au1 0.000 0.000 0.500
Au2 0.343 0.657 0.500
Au3 0.500 0.500 0.000
Au4 0.657 0.343 0.500

B:
Below is a geometry-optimized Ac3IrAu2 structure, with properties calculated at the GGA-PBE level.

The calculated density comes out at 11.05 g cm⁻³. The symmetry is No. 15.

Unit cell a=7.846 b=7.846 c=8.833 alpha=106.37 beta=106.37 gamma=47.42
Fractional coordinates of all 12 atoms:
Ac1 0.000 0.000 0.250
Ac2 0.000 0.000 0.750
Ac3 0.351 0.352 0.926
Ac4 0.352 0.351 0.426
Ac5 0.648 0.649 0.574
Ac6 0.649 0.648 0.074
Ir1 0.499 0.501 0.250
Ir2 0.501 0.499 0.750
Au1 0.173 0.174 0.587
Au2 0.174 0.173 0.087
Au3 0.826 0.827 0.913
Au4 0.827 0.826 0.413

Which of them is least stable? Easy: B.

A:
Below is a geometry-optimized AcPmIrAu structure, with properties calculated at the GGA-PBE level.

The calculated density comes out at 11.16 g cm⁻³. The symmetry is No. 6.

Unit cell a=4.320 b=4.324 c=6.063 alpha=90.00 beta=90.04 gamma=90.00
Fractional coordinates of all 4 atoms:
Ac1 0.000 0.000 0.000
Pm1 0.501 0.500 0.499
Ir1 0.500 0.500 0.999
Au1 0.001 0.000 0.500

B:
Below is a geometry-optimized AcPmIrAu structure, with properties calculated at the GGA-PBE level.

The calculated density comes out at 12.40 g cm⁻³. The symmetry is No. 216.

Unit cell a=5.243 b=5.243 c=5.243 alpha=60.00 beta=60.00 gamma=60.00
Fractional coordinates of all 4 atoms:
Ac1 0.000 0.000 0.000
Pm1 0.500 0.500 0.500
Ir1 0.250 0.250 0.250
Au1 0.750 0.750 0.750

Which of them is least stable? Easy: A.

A:
Below is a geometry-optimized AcPrIrAu structure, with properties calculated at the GGA-PBE level.

The calculated density comes out at 12.11 g cm⁻³. The symmetry is No. 216.

Unit cell a=5.276 b=5.276 c=5.276 alpha=60.00 beta=60.00 gamma=60.00
Fractional coordinates of all 4 atoms:
Ac1 0.000 0.000 0.000
Pr1 0.500 0.500 0.500
Ir1 0.250 0.250 0.250
Au1 0.750 0.750 0.750

B:
Below is a geometry-optimized AcPrIrAu structure, with properties calculated at the GGA-PBE level.

The calculated density comes out at 10.88 g cm⁻³. The symmetry is No. 6.

Unit cell a=4.352 b=4.352 c=6.098 alpha=90.00 beta=90.10 gamma=90.00
Fractional coordinates of all 4 atoms:
Ac1 0.000 0.000 0.000
Pr1 0.499 0.500 0.501
Ir1 0.500 0.500 0.000
Au1 0.999 0.000 0.500

Which of them is least stable? Easy: B.

A:
Below is a geometry-optimized Ac2LaAu6 structure, with properties calculated at the GGA-PBE level.

The calculated density comes out at 12.58 g cm⁻³. The symmetry is No. 191.

Unit cell a=8.360 b=8.360 c=3.870 alpha=90.00 beta=90.00 gamma=120.00
Fractional coordinates of all 9 atoms:
Ac1 0.333 0.667 0.000
Ac2 0.667 0.333 0.000
La1 0.000 0.000 0.000
Au1 0.000 0.332 0.500
Au2 0.000 0.668 0.500
Au3 0.332 0.000 0.500
Au4 0.332 0.332 0.500
Au5 0.668 0.000 0.500
Au6 0.668 0.668 0.500

B:
Below is a geometry-optimized Ac2LaAu6 structure, with properties calculated at the GGA-PBE level.

The calculated density comes out at 12.19 g cm⁻³. The symmetry is No. 71.

Unit cell a=8.870 b=8.870 c=8.870 alpha=154.05 beta=127.14 gamma=59.80
Fractional coordinates of all 9 atoms:
Ac1 0.143 0.143 0.000
Ac2 0.857 0.857 0.000
La1 0.500 0.000 0.500
Au1 0.148 0.329 0.819
Au2 0.187 0.500 0.687
Au3 0.491 0.671 0.819
Au4 0.509 0.329 0.181
Au5 0.813 0.500 0.313
Au6 0.852 0.671 0.181

Which of them is least stable? Easy: B.

A:
Below is a geometry-optimized AcLaAu structure, with properties calculated at the GGA-PBE level.

The calculated density comes out at 9.67 g cm⁻³. The symmetry is No. 156.

Unit cell a=5.146 b=5.146 c=4.214 alpha=90.00 beta=90.00 gamma=120.00
Fractional coordinates of all 3 atoms:
Ac1 0.000 0.000 0.000
La1 0.333 0.667 0.563
Au1 0.667 0.333 0.333

B:
Below is a geometry-optimized AcLaAu structure, with properties calculated at the GGA-PBE level.

The calculated density comes out at 9.40 g cm⁻³. The symmetry is No. 12.

Unit cell a=7.193 b=7.193 c=7.722 alpha=106.02 beta=106.02 gamma=31.29
Fractional coordinates of all 6 atoms:
Ac1 0.146 0.146 0.080
Ac2 0.854 0.854 0.920
La1 0.134 0.134 0.562
La2 0.866 0.866 0.438
Au1 0.492 0.492 0.249
Au2 0.508 0.508 0.751

Which of them is least stable? Easy: A.

A:
Below is a geometry-optimized AcLaAu structure, with properties calculated at the GGA-PBE level.

The calculated density comes out at 9.41 g cm⁻³. The symmetry is No. 11.

Unit cell a=8.922 b=4.130 c=16.177 alpha=90.00 beta=90.94 gamma=90.00
Fractional coordinates of all 18 atoms:
Ac1 0.019 0.250 0.290
Ac2 0.345 0.250 0.084
Ac3 0.469 0.250 0.390
Ac4 0.531 0.750 0.610
Ac5 0.655 0.750 0.916
Ac6 0.981 0.750 0.710
La1 0.027 0.250 0.910
La2 0.159 0.750 0.481
La3 0.361 0.250 0.786
La4 0.639 0.750 0.214
La5 0.841 0.250 0.519
La6 0.973 0.750 0.090
Au1 0.226 0.250 0.613
Au2 0.284 0.750 0.929
Au3 0.290 0.750 0.249
Au4 0.710 0.250 0.751
Au5 0.716 0.250 0.071
Au6 0.774 0.750 0.387

B:
Below is a geometry-optimized AcLaAu structure, with properties calculated at the GGA-PBE level.

The calculated density comes out at 9.42 g cm⁻³. The symmetry is No. 107.

Unit cell a=7.121 b=7.121 c=7.121 alpha=148.32 beta=148.32 gamma=45.41
Fractional coordinates of all 3 atoms:
Ac1 0.000 0.000 0.000
La1 0.718 0.718 0.000
Au1 0.349 0.349 0.000

Which of them is least stable? Easy: B.

A:
Below is a geometry-optimized Ac2LaAu structure, with properties calculated at the GGA-PBE level.

The calculated density comes out at 9.15 g cm⁻³. The symmetry is No. 123.

Unit cell a=3.922 b=3.922 c=9.317 alpha=90.00 beta=90.00 gamma=90.00
Fractional coordinates of all 4 atoms:
Ac1 0.000 0.000 0.205
Ac2 0.000 0.000 0.795
La1 0.500 0.500 0.500
Au1 0.500 0.500 0.000

B:
Below is a geometry-optimized Ac2LaAu structure, with properties calculated at the GGA-PBE level.

The calculated density comes out at 8.23 g cm⁻³. The symmetry is No. 166.

Unit cell a=12.363 b=12.363 c=12.363 alpha=18.11 beta=18.11 gamma=18.11
Fractional coordinates of all 4 atoms:
Ac1 0.082 0.082 0.082
Ac2 0.918 0.918 0.918
La1 0.500 0.500 0.500
Au1 0.000 0.000 0.000

Which of them is least stable? Easy: B.

A:
Below is a geometry-optimized Ac2LaAu structure, with properties calculated at the GGA-PBE level.

The calculated density comes out at 8.90 g cm⁻³. The symmetry is No. 62.

Unit cell a=7.613 b=10.828 c=7.152 alpha=90.00 beta=90.00 gamma=90.00
Fractional coordinates of all 16 atoms:
Ac1 0.192 0.060 0.167
Ac2 0.192 0.440 0.167
Ac3 0.308 0.560 0.667
Ac4 0.308 0.940 0.667
Ac5 0.692 0.060 0.333
Ac6 0.692 0.440 0.333
Ac7 0.808 0.560 0.833
Ac8 0.808 0.940 0.833
La1 0.023 0.250 0.649
La2 0.477 0.750 0.149
La3 0.523 0.250 0.851
La4 0.977 0.750 0.351
Au1 0.116 0.750 0.941
Au2 0.384 0.250 0.441
Au3 0.616 0.750 0.559
Au4 0.884 0.250 0.059

B:
Below is a geometry-optimized Ac2LaAu structure, with properties calculated at the GGA-PBE level.

The calculated density comes out at 8.54 g cm⁻³. The symmetry is No. 160.

Unit cell a=10.707 b=10.707 c=10.707 alpha=22.20 beta=22.20 gamma=22.20
Fractional coordinates of all 4 atoms:
Ac1 0.000 0.000 0.000
Ac2 0.197 0.197 0.197
La1 0.431 0.431 0.431
Au1 0.598 0.598 0.598

Which of them is least stable? Easy: B.